This record from the Alexandria database describes a relaxed structure of Fe2CuTe. The functional is PBE.

abc: 3.826 3.826 4.005
angles: 89.95 89.95 89.95
Last column: magnetic moment on the atom in μB.
Fractional coordinates of all 4 atoms:
Cu: 0.000 0.500 0.500  0.06
Fe: 0.000 0.000 0.000  2.61
Fe: 0.500 0.500 0.000  2.61
Te: 0.500 0.000 0.500  0.05

The total moment comes out at 5.33 Bohr magnetons per cell. The value obtained for the uncorrected formation energy is 0.31 eV per atom. The value obtained for the energy is -5.736 eV/atom.